# 1
Density functional theory data (GGA-PBE) for NbHPd after structural relaxation.

Structure (CIF):
```
data_NbHPd
_chemical_formula_sum 'Nb4 H4 Pd4'
_space_group_name_H-M_alt 'C 1 2/m 1'
_space_group_IT_number 12
_cell_length_a 9.584
_cell_length_b 2.893
_cell_length_c 5.190
_cell_angle_alpha 90.00
_cell_angle_beta 97.74
_cell_angle_gamma 90.00
loop_
_space_group_symop_operation_xyz
'x,y,z'
'-x,-y,-z'
'-x,y,-z'
'x,-y,z'
'x+1/2,y+1/2,z'
'-x+1/2,-y+1/2,-z'
'-x+1/2,y+1/2,-z'
'x+1/2,-y+1/2,z'
loop_
_atom_site_label
_atom_site_fract_x
_atom_site_fract_y
_atom_site_fract_z
Nb1 0.116 0.000 0.349
H1 0.245 0.000 0.676
Pd1 0.121 0.500 0.871
```

Final energy, eV/atom: -6.455

***

# 2
Density functional theory data (GGA-PBE) for Ba8As3PtBr3 after structural relaxation.

Structure (CIF):
```
data_Ba8As3PtBr3
_chemical_formula_sum 'Ba24 As9 Pt3 Br9'
_space_group_name_H-M_alt 'R -3 m'
_space_group_IT_number 166
_space_group_name_Hall '-R 3 2"'
_cell_length_a 9.5358
_cell_length_b 9.5358
_cell_length_c 23.7691
_cell_angle_alpha 90.00
_cell_angle_beta 90.00
_cell_angle_gamma 120.00
loop_
_atom_site_label
_atom_site_fract_x
_atom_site_fract_y
_atom_site_fract_z
Ba1 0.0000 0.0000 0.2406
Ba2 0.0022 0.5011 0.7602
As1 0.0000 0.5000 0.5000
Pt1 0.0000 0.0000 0.5000
Br1 0.0000 0.5000 0.0000
```

Formation energy (no corrections), eV/atom: -1.360